Below is an optimized crystal structure of Pr5Ag2Ir, with properties calculated at the PBE-GGA level.

a b c (Å): 6.685 6.692 6.706
angles (deg): 104.99 105.08 118.67
Sites, in units of the cell vectors:
Pr  0.000  0.000  0.000
Pr  0.005  0.458  0.454
Pr  0.454  0.454  0.908
Pr  0.460  0.005  0.454
Pr  0.591  0.592  0.454
Ag  0.483  0.982  0.952
Ag  0.985  0.484  0.956
Ir  0.065  0.064  0.454

Its total energy is -4.965 eV per atom. The formation energy comes out at -157 meV per atom.

---

Below is an optimized crystal structure of La12CeTl4O3, with properties calculated at the PBE-GGA level.

a b c (Å): 8.988 8.988 8.988
angles (deg): 109.47 109.47 109.47
Sites, in units of the cell vectors:
La  0.000  0.266  0.266
La  0.000  0.734  0.734
La  0.250  0.500  0.750
La  0.250  0.750  0.500
La  0.266  0.000  0.266
La  0.266  0.266  0.000
La  0.500  0.250  0.750
La  0.500  0.750  0.250
La  0.734  0.000  0.734
La  0.734  0.734  0.000
La  0.750  0.250  0.500
La  0.750  0.500  0.250
Ce  0.000  0.000  0.000
Tl  0.000  0.000  0.500
Tl  0.000  0.500  0.000
Tl  0.500  0.000  0.000
Tl  0.500  0.500  0.500
O  0.000  0.500  0.500
O  0.500  0.000  0.500
O  0.500  0.500  0.000

Its total energy is -5.398 eV per atom.

---

Below is an optimized crystal structure of Tm5Te5C2, with properties calculated at the PBE-GGA level.

a b c (Å): 7.347 7.347 10.788
angles (deg): 99.13 99.13 31.33
Sites, in units of the cell vectors:
Tm  0.000  0.000  0.000
Tm  0.093  0.093  0.328
Tm  0.368  0.368  0.208
Tm  0.632  0.632  0.792
Tm  0.907  0.907  0.672
Te  0.233  0.233  0.615
Te  0.339  0.339  0.909
Te  0.500  0.500  0.500
Te  0.661  0.661  0.091
Te  0.767  0.767  0.385
C  0.048  0.048  0.806
C  0.952  0.952  0.194

Its total energy is -5.439 eV per atom.

---

Below is an optimized crystal structure of Sr4BeOs, with properties calculated at the PBE-GGA level.

a b c (Å): 6.432 6.432 6.432
angles (deg): 60.00 60.00 60.00
Sites, in units of the cell vectors:
Sr  0.376  0.376  0.376
Sr  0.376  0.376  0.872
Sr  0.376  0.872  0.376
Sr  0.872  0.376  0.376
Be  0.000  0.000  0.000
Os  0.750  0.750  0.750

Its total energy is -2.093 eV per atom. The formation energy comes out at 1521 meV per atom.

---

Below is an optimized crystal structure of AsSeI3F6, with properties calculated at the PBE-GGA level.

a b c (Å): 8.819 10.475 12.798
angles (deg): 90.00 98.45 90.00
Sites, in units of the cell vectors:
As  0.202  0.226  0.067
As  0.202  0.274  0.567
As  0.798  0.726  0.433
As  0.798  0.774  0.933
Se  0.208  0.676  0.698
Se  0.208  0.824  0.198
Se  0.792  0.176  0.802
Se  0.792  0.324  0.302
I  0.207  0.593  0.258
I  0.207  0.907  0.758
I  0.260  0.542  0.864
I  0.260  0.958  0.364
I  0.454  0.668  0.617
I  0.454  0.832  0.117
I  0.546  0.168  0.883
I  0.546  0.332  0.383
I  0.740  0.042  0.636
I  0.740  0.458  0.136
I  0.793  0.093  0.242
I  0.793  0.407  0.742
F  0.024  0.228  0.495
F  0.024  0.272  0.995
F  0.126  0.075  0.094
F  0.126  0.425  0.594
F  0.148  0.209  0.684
F  0.148  0.291  0.184
F  0.257  0.163  0.948
F  0.257  0.337  0.448
F  0.282  0.122  0.538
F  0.282  0.378  0.038
F  0.384  0.182  0.136
F  0.384  0.318  0.636
F  0.616  0.682  0.364
F  0.616  0.818  0.864
F  0.718  0.622  0.962
F  0.718  0.878  0.462
F  0.743  0.663  0.552
F  0.743  0.837  0.052
F  0.852  0.709  0.816
F  0.852  0.791  0.316
F  0.874  0.575  0.406
F  0.874  0.925  0.906
F  0.976  0.728  0.005
F  0.976  0.772  0.505

Its total energy is -3.547 eV per atom.

---

Below is an optimized crystal structure of AcTb3Th, with properties calculated at the PBE-GGA level.

a b c (Å): 6.944 6.944 14.022
angles (deg): 92.45 92.45 30.83
Sites, in units of the cell vectors:
Ac  0.160  0.160  0.414
Ac  0.840  0.840  0.586
Tb  0.032  0.032  0.174
Tb  0.233  0.233  0.796
Tb  0.425  0.425  0.372
Tb  0.575  0.575  0.628
Tb  0.767  0.767  0.204
Tb  0.968  0.968  0.826
Th  0.366  0.366  0.017
Th  0.634  0.634  0.983

Its total energy is -5.029 eV per atom. The formation energy comes out at 55 meV per atom.

---

Below is an optimized crystal structure of NaGdCdSn, with properties calculated at the PBE-GGA level.

a b c (Å): 5.299 5.299 5.299
angles (deg): 60.00 60.00 60.00
Sites, in units of the cell vectors:
Na  0.000  0.000  0.000
Gd  0.500  0.500  0.500
Cd  0.750  0.750  0.750
Sn  0.250  0.250  0.250

Its total energy is -5.444 eV per atom. The formation energy comes out at -365 meV per atom.

---

Below is an optimized crystal structure of Re2AgSe, with properties calculated at the PBE-GGA level.

a b c (Å): 9.426 9.426 9.426
angles (deg): 17.76 17.76 17.76
Sites, in units of the cell vectors:
Re  0.000  0.000  0.000
Re  0.259  0.259  0.259
Ag  0.505  0.505  0.505
Se  0.737  0.737  0.737

Its total energy is -7.481 eV per atom.

---

Below is an optimized crystal structure of Fe2ReMo, with properties calculated at the PBE-GGA level.

a b c (Å): 4.938 4.938 4.938
angles (deg): 143.82 129.04 64.08
Sites, in units of the cell vectors:
Fe  0.000  0.000  0.000
Fe  0.761  0.261  0.500
Re  0.508  0.508  0.000
Mo  0.253  0.753  0.500

Its total energy is -9.934 eV per atom. The formation energy comes out at 117 meV per atom.

---

Below is an optimized crystal structure of LaTbMgTi, with properties calculated at the PBE-GGA level.

a b c (Å): 5.356 5.356 5.356
angles (deg): 60.00 60.00 60.00
Sites, in units of the cell vectors:
La  0.000  0.000  0.000
Tb  0.500  0.500  0.500
Mg  0.750  0.750  0.750
Ti  0.250  0.250  0.250

Its total energy is -4.622 eV per atom. The formation energy comes out at 140 meV per atom.

---

Below is an optimized crystal structure of TiTl2Pt, with properties calculated at the PBE-GGA level.

a b c (Å): 6.210 6.210 6.210
angles (deg): 102.86 102.86 123.70
Sites, in units of the cell vectors:
Ti  0.000  0.000  0.000
Ti  0.750  0.250  0.500
Tl  0.139  0.625  0.014
Tl  0.375  0.389  0.514
Tl  0.611  0.125  0.986
Tl  0.875  0.861  0.486
Pt  0.250  0.750  0.500
Pt  0.500  0.500  0.000

Its total energy is -4.446 eV per atom. The energy above the lowest structure with this stoichiometry is 75 meV/atom. The formation energy comes out at 221 meV per atom.

---

Below is an optimized crystal structure of RbSn2Os2, with properties calculated at the PBE-GGA level.

a b c (Å): 8.279 8.279 3.003
angles (deg): 90.00 90.00 90.00
Sites, in units of the cell vectors:
Rb  0.000  0.000  0.000
Rb  0.500  0.500  0.000
Sn  0.150  0.350  0.500
Sn  0.350  0.850  0.500
Sn  0.650  0.150  0.500
Sn  0.850  0.650  0.500
Os  0.139  0.639  0.000
Os  0.361  0.139  0.000
Os  0.639  0.861  0.000
Os  0.861  0.361  0.000

Its total energy is -5.704 eV per atom. The energy above the lowest structure with this stoichiometry is 118 meV/atom. The formation energy comes out at 583 meV per atom.

---

Below is an optimized crystal structure of MgFe, with properties calculated at the PBE-GGA level.

a b c (Å): 3.652 3.652 12.710
angles (deg): 90.00 90.00 120.00
Sites, in units of the cell vectors:
Mg  0.333  0.667  0.105
Mg  0.333  0.667  0.395
Mg  0.667  0.333  0.605
Mg  0.667  0.333  0.895
Fe  0.000  0.000  0.250
Fe  0.000  0.000  0.750
Fe  0.333  0.667  0.750
Fe  0.667  0.333  0.250

Its total energy is -4.641 eV per atom. The formation energy comes out at 388 meV per atom.

---

Below is an optimized crystal structure of Pr5Y12Ho, with properties calculated at the PBE-GGA level.

a b c (Å): 10.827 10.827 5.108
angles (deg): 90.00 90.00 90.10
Sites, in units of the cell vectors:
Pr  0.000  0.000  0.000
Pr  0.167  0.833  0.500
Pr  0.335  0.665  0.000
Pr  0.665  0.335  0.000
Pr  0.833  0.167  0.500
Y  0.001  0.335  0.000
Y  0.167  0.498  0.500
Y  0.168  0.168  0.500
Y  0.333  0.333  0.000
Y  0.335  0.001  0.000
Y  0.498  0.167  0.500
Y  0.502  0.833  0.500
Y  0.665  0.999  0.000
Y  0.667  0.667  0.000
Y  0.832  0.832  0.500
Y  0.833  0.502  0.500
Y  0.999  0.665  0.000
Ho  0.500  0.500  0.500

Its total energy is -5.869 eV per atom. The formation energy comes out at 22 meV per atom.

---

Below is an optimized crystal structure of BeCuAs, with properties calculated at the PBE-GGA level.

a b c (Å): 8.228 4.459 4.771
angles (deg): 90.00 90.00 90.00
Sites, in units of the cell vectors:
Be  0.000  0.000  0.000
Be  0.000  0.500  0.000
Be  0.500  0.000  0.500
Be  0.500  0.500  0.500
Cu  0.078  0.250  0.419
Cu  0.422  0.750  0.919
Cu  0.578  0.250  0.081
Cu  0.922  0.750  0.581
As  0.180  0.750  0.264
As  0.320  0.250  0.764
As  0.680  0.750  0.236
As  0.820  0.250  0.736

Its total energy is -4.057 eV per atom. The formation energy comes out at 101 meV per atom.

---

Below is an optimized crystal structure of SiGeO, with properties calculated at the PBE-GGA level.

a b c (Å): 7.363 5.663 5.429
angles (deg): 83.15 49.79 47.06
Sites, in units of the cell vectors:
Si  0.152  0.152  0.848
Si  0.848  0.848  0.152
Ge  0.179  0.821  0.179
Ge  0.821  0.179  0.821
O  0.313  0.313  0.687
O  0.687  0.687  0.313

Its total energy is -5.999 eV per atom.

---

Below is an optimized crystal structure of PdNF2, with properties calculated at the PBE-GGA level.

a b c (Å): 4.021 4.021 4.021
angles (deg): 60.00 60.00 60.00
Sites, in units of the cell vectors:
Pd  0.000  0.000  0.000
N  0.500  0.500  0.500
F  0.250  0.250  0.250
F  0.750  0.750  0.750

Its total energy is -3.467 eV per atom. The energy above the lowest structure with this stoichiometry is 300 meV/atom.

---

Below is an optimized crystal structure of Y2PRh, with properties calculated at the PBE-GGA level.

a b c (Å): 5.958 5.958 5.958
angles (deg): 141.10 141.10 56.19
Sites, in units of the cell vectors:
Y  0.000  0.000  0.000
Y  0.750  0.250  0.500
P  0.250  0.750  0.500
Rh  0.500  0.500  0.000

Its total energy is -7.273 eV per atom. The formation energy comes out at -850 meV per atom.

---

Below is an optimized crystal structure of Pm5NdSm2Y, with properties calculated at the PBE-GGA level.

a b c (Å): 10.073 10.073 10.073
angles (deg): 127.55 127.55 77.35
Sites, in units of the cell vectors:
Pm  0.000  0.000  0.000
Pm  0.072  0.572  0.919
Pm  0.153  0.072  0.500
Pm  0.347  0.847  0.919
Pm  0.428  0.347  0.500
Pm  0.500  0.500  0.000
Pm  0.572  0.653  0.500
Pm  0.653  0.153  0.081
Pm  0.847  0.928  0.500
Pm  0.928  0.428  0.081
Nd  0.250  0.250  0.000
Nd  0.750  0.750  0.000
Sm  0.116  0.384  0.500
Sm  0.384  0.884  0.268
Sm  0.616  0.116  0.732
Sm  0.884  0.616  0.500
Y  0.250  0.750  0.500
Y  0.750  0.250  0.500

Its total energy is -4.660 eV per atom. The formation energy comes out at 276 meV per atom.

---

Below is an optimized crystal structure of BaReAs2Br, with properties calculated at the PBE-GGA level.

a b c (Å): 4.827 4.827 5.706
angles (deg): 90.00 90.00 90.00
Sites, in units of the cell vectors:
Ba  0.000  0.000  0.000
Re  0.500  0.500  0.500
As  0.000  0.500  0.500
As  0.500  0.000  0.500
Br  0.500  0.500  0.000

Its total energy is -5.430 eV per atom. The energy above the lowest structure with this stoichiometry is 0 meV/atom.

---

Below is an optimized crystal structure of Pr2Ga4IrAu3, with properties calculated at the PBE-GGA level.

a b c (Å): 4.357 4.357 10.762
angles (deg): 90.00 90.00 90.00
Sites, in units of the cell vectors:
Pr  0.000  0.500  0.245
Pr  0.500  0.000  0.755
Ga  0.000  0.000  0.500
Ga  0.000  0.500  0.874
Ga  0.500  0.000  0.126
Ga  0.500  0.500  0.500
Ir  0.500  0.500  0.000
Au  0.000  0.000  0.000
Au  0.000  0.500  0.638
Au  0.500  0.000  0.362

Its total energy is -4.671 eV per atom. The formation energy comes out at -635 meV per atom.

---

Below is an optimized crystal structure of Ac4Nd2Pb3N2, with properties calculated at the PBE-GGA level.

a b c (Å): 13.973 13.973 13.973
angles (deg): 158.72 158.72 30.27
Sites, in units of the cell vectors:
Ac  0.088  0.588  0.500
Ac  0.412  0.912  0.500
Ac  0.588  0.088  0.500
Ac  0.912  0.412  0.500
Nd  0.196  0.196  0.000
Nd  0.804  0.804  0.000
Pb  0.320  0.320  0.000
Pb  0.500  0.500  0.000
Pb  0.680  0.680  0.000
N  0.110  0.110  0.000
N  0.890  0.890  0.000

Its total energy is -5.615 eV per atom.